[1]
Entry from Alexandria via LeMat-Bulk: CeDyTm6 after structural relaxation (PBE).

M_tot ... 1.7 μB/f.u.
Density of states at the Fermi level ... 16.43 states/eV per cell
Formation enthalpy at 0 K ... 0.23 eV per atom
ΔE to the lowest computed polymorph ... 0.1838 eV per atom

a b c (Å): 6.682 6.404 6.805
angles (deg): 103.01 61.44 89.37
Last column: magnetic moment on the atom in μB.
Positions (direct):
Tm  0.451  0.251  0.000  0.09
Tm  0.096  0.730  0.477  0.08
Tm  0.549  0.749  0.000  0.09
Dy  0.000  0.000  0.000  0.10
Tm  0.904  0.270  0.523  0.08
Ce  0.000  0.500  0.000  0.79
Tm  0.573  0.767  0.520  0.06
Tm  0.427  0.233  0.480  0.06

***

[2]
Entry from Alexandria via LeMat-Bulk: CeDy10Tm6 after structural relaxation (PBE).

M_tot ... 1.0 μB/f.u.
Density of states at the Fermi level ... 27.30 states/eV per cell
Formation enthalpy at 0 K ... 0.15 eV per atom

a b c (Å): 6.758 9.576 9.576
angles (deg): 120.00 90.00 90.00
Last column: magnetic moment on the atom in μB.
Positions (direct):
Dy  0.817  0.275  0.000  0.00
Dy  0.500  0.667  0.333  0.01
Dy  0.817  0.000  0.275  0.00
Tm  0.305  0.375  0.000  0.01
Dy  0.183  0.275  0.275  0.00
Dy  0.183  0.000  0.725  0.00
Dy  0.000  0.667  0.333  0.00
Tm  0.695  0.000  0.625  0.01
Ce  0.500  0.000  0.000  0.79
Tm  0.695  0.375  0.375  0.01
Dy  0.000  0.333  0.667  0.00
Tm  0.305  0.625  0.625  0.01
Tm  0.695  0.625  0.000  0.01
Dy  0.817  0.725  0.725  0.00
Tm  0.305  0.000  0.375  0.01
Dy  0.183  0.725  0.000  0.00
Dy  0.500  0.333  0.667  0.01

***

[3]
Entry from Alexandria via LeMat-Bulk: CeDy2Y6Tm3 after structural relaxation (PBE).

M_tot ... 1.1 μB/f.u.
Density of states at the Fermi level ... 20.96 states/eV per cell
Formation enthalpy at 0 K ... 0.04 eV per atom

a b c (Å): 6.146 6.146 11.755
angles (deg): 95.00 95.00 119.97
Last column: magnetic moment on the atom in μB.
Positions (direct):
Y  0.752  0.752  0.251  0.01
Dy  0.333  0.667  0.000  0.05
Tm  0.167  0.833  0.500  -0.03
Y  0.585  0.916  0.749  0.01
Tm  0.500  0.500  0.500  -0.03
Tm  0.833  0.167  0.500  -0.03
Ce  0.000  0.000  0.000  0.78
Y  0.084  0.415  0.251  0.01
Dy  0.667  0.333  0.000  0.05
Y  0.415  0.084  0.251  0.01
Y  0.916  0.585  0.749  0.01
Y  0.248  0.248  0.749  0.01

***

Q: Which formula does entry 3 have?
A: CeDy2Y6Tm3

***

Q: Which of these has the lowest M_tot?
A: CeDy10Tm6